--- 1 ---
Material: PuUMn
Method: DFT, GGA-PBE
State: optimized geometry

a b c (Å): 3.397 3.397 5.272
angles (deg): 108.79 108.79 90.00
Each line ends with the local moment (μB).
Sites, in units of the cell vectors:
Mn1 0.327 0.327 0.655  -1.61
U1 0.675 0.675 0.350  1.37
Pu1 0.998 0.998 0.996  4.82

Summary:
Its crystal system is tetragonal. As for the space group: I4mm (107).


--- 2 ---
Material: PuUMn
Method: DFT, GGA-PBE
State: optimized geometry

a b c (Å): 2.691 4.582 4.582
angles (deg): 120.00 90.00 90.00
Each line ends with the local moment (μB).
Sites, in units of the cell vectors:
Mn1 0.000 0.000 0.000  1.88
U1 0.500 0.667 0.333  -0.60
Pu1 0.500 0.333 0.667  2.85

Summary:
Its crystal system is hexagonal. As for the space group: P-6m2 (187).


Least stable of them? 2.


--- 1 ---
Material: PuMnV2
Method: DFT, GGA-PBE
State: optimized geometry

a b c (Å): 2.888 2.888 7.196
angles (deg): 90.00 90.00 90.00
Each line ends with the local moment (μB).
Sites, in units of the cell vectors:
V1 0.000 0.000 0.803  -0.49
V2 0.000 0.000 0.197  -0.49
Mn1 0.500 0.500 0.000  0.32
Pu1 0.500 0.500 0.500  4.58

Summary:
Its crystal system is tetragonal. As for the space group: P4/mmm (123).


--- 2 ---
Material: PuMnV2
Method: DFT, GGA-PBE
State: optimized geometry

a b c (Å): 4.355 4.355 4.355
angles (deg): 60.00 60.00 60.00
Each line ends with the local moment (μB).
Sites, in units of the cell vectors:
V1 0.250 0.250 0.250  0.25
V2 0.750 0.750 0.750  0.25
Mn1 0.500 0.500 0.500  -1.80
Pu1 0.000 0.000 0.000  4.61

Summary:
Its crystal system is cubic. As for the space group: Fm-3m (225).


Least stable of them? 2.


--- 1 ---
Material: Pu2MnV
Method: DFT, GGA-PBE
State: optimized geometry

a b c (Å): 3.460 3.460 6.319
angles (deg): 90.00 90.00 90.00
Each line ends with the local moment (μB).
Sites, in units of the cell vectors:
V1 0.500 0.500 0.000  -1.79
Mn1 0.500 0.500 0.500  -2.77
Pu1 0.000 0.000 0.742  4.87
Pu2 0.000 0.000 0.258  4.87

Summary:
Its crystal system is tetragonal. As for the space group: P4/mmm (123).


--- 2 ---
Material: Pu2MnV
Method: DFT, GGA-PBE
State: optimized geometry

a b c (Å): 5.057 3.466 3.466
angles (deg): 90.00 90.00 90.00
Each line ends with the local moment (μB).
Sites, in units of the cell vectors:
V1 0.500 0.000 0.000  -0.89
Mn1 0.500 0.500 0.500  1.47
Pu1 0.000 0.000 0.500  -0.06
Pu2 0.000 0.500 0.000  -0.06

Summary:
Its crystal system is tetragonal. As for the space group: P4/mmm (123).


Least stable of them? 2.


--- 1 ---
Material: YPuMn
Method: DFT, GGA-PBE
State: optimized geometry

a b c (Å): 3.133 5.965 6.760
angles (deg): 103.48 90.00 105.23
Each line ends with the local moment (μB).
Sites, in units of the cell vectors:
Y1 0.525 0.049 0.764  -0.07
Y2 0.475 0.951 0.236  -0.07
Mn1 0.812 0.624 0.933  0.63
Mn2 0.188 0.376 0.067  0.63
Pu1 0.253 0.506 0.634  -0.84
Pu2 0.747 0.494 0.366  -0.84

Summary:
Its crystal system is monoclinic. As for the space group: C2/m (12).


--- 2 ---
Material: YPuMn
Method: DFT, GGA-PBE
State: optimized geometry

a b c (Å): 3.458 3.458 6.186
angles (deg): 106.23 106.23 90.00
Each line ends with the local moment (μB).
Sites, in units of the cell vectors:
Y1 0.014 0.014 0.028  0.32
Mn1 0.689 0.689 0.377  -2.56
Pu1 0.298 0.298 0.595  5.32

Summary:
Its crystal system is tetragonal. As for the space group: I4mm (107).


Least stable of them? 1.


--- 1 ---
Material: PuZrMn
Method: DFT, GGA-PBE
State: optimized geometry

a b c (Å): 5.622 5.616 4.775
angles (deg): 102.42 103.04 120.86
Each line ends with the local moment (μB).
Sites, in units of the cell vectors:
Mn1 0.254 0.246 0.001  -1.83
Mn2 0.746 0.754 0.999  -1.83
Zr1 0.182 0.682 0.840  -0.14
Zr2 0.818 0.318 0.160  -0.14
Pu1 0.662 0.840 0.502  4.88
Pu2 0.338 0.160 0.498  4.88

Summary:
Its crystal system is triclinic. As for the space group: P-1 (2).


--- 2 ---
Material: PuZrMn
Method: DFT, GGA-PBE
State: optimized geometry

a b c (Å): 3.375 3.375 5.554
angles (deg): 107.69 107.69 90.00
Each line ends with the local moment (μB).
Sites, in units of the cell vectors:
Mn1 0.648 0.648 0.296  -2.24
Zr1 0.328 0.328 0.656  0.14
Pu1 0.024 0.024 0.048  4.88

Summary:
Its crystal system is tetragonal. As for the space group: I4mm (107).


Least stable of them? 2.


--- 1 ---
Material: RbMn2Re
Method: DFT, GGA-PBE
State: optimized geometry

a b c (Å): 4.466 4.466 4.466
angles (deg): 60.00 60.00 60.00
Sites, in units of the cell vectors:
Re1 0.500 0.500 0.500
Mn1 0.250 0.250 0.250
Mn2 0.750 0.750 0.750
Rb1 0.000 0.000 0.000

Summary:
Its crystal system is cubic. As for the space group: Fm-3m (225).


--- 2 ---
Material: RbMn2Re
Method: DFT, GGA-PBE
State: optimized geometry

a b c (Å): 5.528 5.528 8.625
angles (deg): 71.31 71.31 90.00
Each line ends with the local moment (μB).
Sites, in units of the cell vectors:
Re1 0.000 0.000 0.000  -0.89
Re2 0.750 0.250 0.500  -0.89
Mn1 0.875 0.125 0.250  3.11
Mn2 0.875 0.625 0.250  3.08
Mn3 0.375 0.125 0.750  3.14
Mn4 0.875 0.125 0.750  3.11
Rb1 0.500 0.500 0.000  0.01
Rb2 0.250 0.750 0.500  0.01

Summary:
Its crystal system is tetragonal. As for the space group: I4_1/amd (141).


Least stable of them? 1.


--- 1 ---
Material: RbMn3Re
Method: DFT, GGA-PBE
State: optimized geometry

a b c (Å): 4.613 4.613 4.613
angles (deg): 90.00 90.00 90.00
Each line ends with the local moment (μB).
Sites, in units of the cell vectors:
Re1 0.500 0.500 0.500  0.31
Mn1 0.000 0.500 0.000  3.54
Mn2 0.000 0.000 0.500  3.24
Mn3 0.500 0.000 0.000  3.70
Rb1 0.000 0.000 0.000  0.07

Summary:
Its crystal system is cubic. As for the space group: Pm-3m (221).


--- 2 ---
Material: RbMn3Re
Method: DFT, GGA-PBE
State: optimized geometry

a b c (Å): 4.961 4.961 4.961
angles (deg): 90.00 90.00 90.00
Each line ends with the local moment (μB).
Sites, in units of the cell vectors:
Re1 0.000 0.000 0.000  -0.78
Mn1 0.000 0.500 0.000  3.71
Mn2 0.000 0.000 0.500  3.52
Mn3 0.500 0.000 0.000  3.78
Rb1 0.500 0.500 0.500  0.02

Summary:
Its crystal system is cubic. As for the space group: Pm-3m (221).


Least stable of them? 1.


--- 1 ---
Material: Rb2MnRe
Method: DFT, GGA-PBE
State: optimized geometry

a b c (Å): 13.451 13.451 9.779
angles (deg): 46.55 46.55 90.00
Each line ends with the local moment (μB).
Sites, in units of the cell vectors:
Re1 0.000 0.000 0.000  -2.07
Re2 0.750 0.250 0.500  -2.07
Mn1 0.500 0.500 0.000  3.07
Mn2 0.250 0.750 0.500  3.07
Rb1 0.443 0.125 0.250  0.01
Rb2 0.307 0.625 0.250  0.01
Rb3 0.375 0.557 0.750  0.01
Rb4 0.875 0.693 0.750  0.01

Summary:
Its crystal system is tetragonal. As for the space group: I-42d (122).


--- 2 ---
Material: Rb2MnRe
Method: DFT, GGA-PBE
State: optimized geometry

a b c (Å): 5.934 5.934 5.934
angles (deg): 60.00 60.00 60.00
Each line ends with the local moment (μB).
Sites, in units of the cell vectors:
Re1 0.500 0.500 0.500  -3.06
Mn1 0.000 0.000 0.000  -4.26
Rb1 0.250 0.250 0.250  0.00
Rb2 0.750 0.750 0.750  0.00

Summary:
Its crystal system is cubic. As for the space group: Fm-3m (225).


Least stable of them? 2.


--- 1 ---
Material: RbMnRe2
Method: DFT, GGA-PBE
State: optimized geometry

a b c (Å): 5.077 5.077 8.734
angles (deg): 73.10 73.10 90.00
Sites, in units of the cell vectors:
Re1 0.375 0.125 0.250
Re2 0.375 0.625 0.250
Re3 0.375 0.625 0.750
Re4 0.875 0.625 0.750
Mn1 0.500 0.500 0.000
Mn2 0.250 0.750 0.500
Rb1 0.000 0.000 0.000
Rb2 0.750 0.250 0.500

Summary:
Its crystal system is tetragonal. As for the space group: I4_1/amd (141).


--- 2 ---
Material: RbMnRe2
Method: DFT, GGA-PBE
State: optimized geometry

a b c (Å): 4.496 4.496 4.496
angles (deg): 60.00 60.00 60.00
Sites, in units of the cell vectors:
Re1 0.250 0.250 0.250
Re2 0.750 0.750 0.750
Mn1 0.000 0.000 0.000
Rb1 0.500 0.500 0.500

Summary:
Its crystal system is cubic. As for the space group: Fm-3m (225).


Least stable of them? 2.


--- 1 ---
Material: RbMn2Rh
Method: DFT, GGA-PBE
State: optimized geometry

a b c (Å): 5.635 5.635 8.990
angles (deg): 71.74 71.74 90.00
Each line ends with the local moment (μB).
Sites, in units of the cell vectors:
Mn1 0.875 0.125 0.250  3.94
Mn2 0.875 0.625 0.250  3.93
Mn3 0.375 0.125 0.750  3.97
Mn4 0.875 0.125 0.750  3.96
Rh1 0.000 0.000 0.000  0.40
Rh2 0.750 0.250 0.500  0.40
Rb1 0.500 0.500 0.000  0.01
Rb2 0.250 0.750 0.500  0.01

Summary:
Its crystal system is tetragonal. As for the space group: I4_1/amd (141).


--- 2 ---
Material: RbMn2Rh
Method: DFT, GGA-PBE
State: optimized geometry

a b c (Å): 4.469 4.469 4.469
angles (deg): 60.00 60.00 60.00
Sites, in units of the cell vectors:
Mn1 0.250 0.250 0.250
Mn2 0.750 0.750 0.750
Rh1 0.500 0.500 0.500
Rb1 0.000 0.000 0.000

Summary:
Its crystal system is cubic. As for the space group: Fm-3m (225).


Least stable of them? 2.


--- 1 ---
Material: Rb2MnRh
Method: DFT, GGA-PBE
State: optimized geometry

a b c (Å): 5.739 5.739 5.739
angles (deg): 60.00 60.00 60.00
Each line ends with the local moment (μB).
Sites, in units of the cell vectors:
Mn1 0.000 0.000 0.000  4.34
Rh1 0.500 0.500 0.500  0.78
Rb1 0.250 0.250 0.250  0.01
Rb2 0.750 0.750 0.750  0.01

Summary:
Its crystal system is cubic. As for the space group: Fm-3m (225).


--- 2 ---
Material: Rb2MnRh
Method: DFT, GGA-PBE
State: optimized geometry

a b c (Å): 12.687 12.687 9.287
angles (deg): 46.92 46.92 90.00
Each line ends with the local moment (μB).
Sites, in units of the cell vectors:
Mn1 0.500 0.500 0.000  4.06
Mn2 0.250 0.750 0.500  4.06
Rh1 0.000 0.000 0.000  0.34
Rh2 0.750 0.250 0.500  0.34
Rb1 0.811 0.125 0.250  0.00
Rb2 0.939 0.625 0.250  0.00
Rb3 0.375 0.189 0.750  0.00
Rb4 0.875 0.061 0.750  0.00

Summary:
Its crystal system is tetragonal. As for the space group: I-42d (122).


Least stable of them? 1.


--- 1 ---
Material: RbMnRu3
Method: DFT, GGA-PBE
State: optimized geometry

a b c (Å): 4.590 4.590 4.590
angles (deg): 90.00 90.00 90.00
Sites, in units of the cell vectors:
Ru1 0.000 0.500 0.000
Ru2 0.000 0.000 0.500
Ru3 0.500 0.000 0.000
Mn1 0.000 0.000 0.000
Rb1 0.500 0.500 0.500

Summary:
Its crystal system is cubic. As for the space group: Pm-3m (221).


--- 2 ---
Material: RbMnRu3
Method: DFT, GGA-PBE
State: optimized geometry

a b c (Å): 4.628 4.628 4.628
angles (deg): 90.00 90.00 90.00
Each line ends with the local moment (μB).
Sites, in units of the cell vectors:
Ru1 0.000 0.500 0.000  -0.42
Ru2 0.000 0.000 0.500  -0.47
Ru3 0.500 0.000 0.000  -0.27
Mn1 0.500 0.500 0.500  -0.10
Rb1 0.000 0.000 0.000  0.00

Summary:
Its crystal system is cubic. As for the space group: Pm-3m (221).


Least stable of them? 2.